Density functional theory data (PBE with a Hubbard U) for a relaxed structure of W2O5.

POSCAR file:
```
W2O5
1.0
1.977 -5.540 0.000
1.977 5.540 0.000
0.000 0.000 11.923
W O
4 10
direct
0.697 0.303 0.599 W
0.303 0.697 0.099 W
0.697 0.303 0.901 W
0.303 0.697 0.401 W
0.768 0.232 0.750 O
0.458 0.542 0.112 O
0.241 0.759 0.933 O
0.542 0.458 0.888 O
0.759 0.241 0.433 O
0.458 0.542 0.388 O
0.232 0.768 0.250 O
0.759 0.241 0.067 O
0.241 0.759 0.567 O
0.542 0.458 0.612 O
```

Space-group type: Cmcm, No. 63
ΔE to the lowest computed polymorph, meV/atom: 192.4
Crystal system: orthorhombic
Electronic total energy, Ry/atom: -0.540